Pu4Pa3N8, relaxed, DFT PBE; total DFT energy (no corrections) = -11.38 eV/atom; SG = No. 12
1.0
6.915 -0.128 -0.184
-3.400 6.102 0.146
-3.400 -1.981 5.773
Pu Pa N
4 3 8
Direct
0.500 0.000 0.000
0.000 0.500 0.000
0.000 0.000 0.000
0.000 0.000 0.500
0.500 0.500 0.000
0.500 0.000 0.500
0.500 0.500 0.500
0.475 0.247 0.247
0.000 0.764 0.236
0.014 0.237 0.237
0.500 0.747 0.253
0.500 0.253 0.747
0.986 0.763 0.763
0.000 0.236 0.764
0.525 0.753 0.753



Pu2Pa2N7, relaxed, DFT PBE; total DFT energy (no corrections) = -10.77 eV/atom; SG = No. 65
1.0
-1.593 0.939 -5.024
-5.086 -0.895 1.445
-0.513 5.147 1.381
Pu Pa N
2 2 7
Direct
0.732 0.000 0.268
0.268 0.000 0.732
0.738 0.500 0.738
0.262 0.500 0.262
0.000 0.255 0.500
0.500 0.745 0.000
0.000 0.745 0.500
0.500 0.255 0.000
0.000 0.000 0.000
0.500 0.748 0.500
0.500 0.252 0.500



Pu2PaN, relaxed, DFT PBE; total DFT energy (no corrections) = -12.06 eV/atom; distance to the lowest polymorph of the same formula = 0 meV/atom; SG = No. 166
1.0
-2.648 0.642 -2.080
-0.247 -1.620 -3.010
-5.017 -6.025 1.703
N Pa Pu
1 1 2
Direct
0.000 0.000 0.000
0.500 0.500 0.500
0.273 0.273 0.180
0.727 0.727 0.820



Pu6PaN12, relaxed, DFT PBE; total DFT energy (no corrections) = -11.36 eV/atom; SG = No. 148
1.0
-5.605 1.548 2.903
-2.007 -0.493 -6.162
0.398 -6.293 1.575
Pu Pa N
6 1 12
Direct
0.136 0.299 0.600
0.701 0.400 0.864
0.400 0.864 0.701
0.864 0.701 0.400
0.299 0.600 0.136
0.600 0.136 0.299
0.000 0.000 0.000
0.433 0.176 0.591
0.176 0.591 0.433
0.591 0.433 0.176
0.567 0.824 0.409
0.824 0.409 0.567
0.409 0.567 0.824
0.073 0.935 0.675
0.325 0.927 0.065
0.065 0.325 0.927
0.927 0.065 0.325
0.675 0.073 0.935
0.935 0.675 0.073



PuPa3N4, relaxed, DFT PBE; total DFT energy (no corrections) = -11.08 eV/atom; SG = No. 13
1.0
6.066 0.059 0.000
-2.071 5.691 0.000
0.000 0.000 6.996
N Pa Pu
8 6 2
Direct
0.004 0.254 0.622
0.500 0.256 0.872
0.504 0.254 0.378
0.000 0.256 0.128
0.000 0.744 0.872
0.496 0.746 0.622
0.500 0.744 0.128
0.996 0.746 0.378
0.750 0.000 0.374
0.250 0.000 0.626
0.750 0.500 0.627
0.750 0.500 0.123
0.250 0.500 0.373
0.250 0.500 0.877
0.750 0.000 0.876
0.250 0.000 0.124



Pu3Pa4N8, relaxed, DFT PBE; total DFT energy (no corrections) = -11.15 eV/atom; SG = No. 12
1.0
-6.148 2.219 -2.667
0.496 -6.397 2.736
2.440 2.798 5.905
Pu Pa N
3 4 8
Direct
0.500 0.500 0.000
0.500 0.000 0.500
0.500 0.500 0.500
0.500 0.000 0.000
0.000 0.500 0.000
0.000 0.000 0.000
0.000 0.000 0.500
0.461 0.220 0.220
0.000 0.766 0.234
0.980 0.226 0.226
0.500 0.754 0.246
0.500 0.246 0.754
0.020 0.774 0.774
0.000 0.234 0.766
0.539 0.780 0.780



Uncorrected formation energy
In order: -1.22 -1.14 -0.44 -1.07 -1.56 -1.32
Unit: eV/atom